Below is a relaxed structure of NdNbN2O, with properties calculated at the GGA-PBE level.

Unit cell a=3.964 b=3.838 c=4.581 alpha=90.00 beta=90.07 gamma=90.00
Fractional coordinates of all 5 atoms:
N  0.000  0.000  0.443
N  0.500  0.000  0.958
Nd  0.000  0.500  0.100
Nb  0.500  0.000  0.551
O  0.501  0.500  0.409

Properties
- electronic total energy (eV for the cell shown) = -44.8
- total magnetization (Bohr magnetons per cell) = 0.00
- V (Å³ per cell) = 69.7
- crystal system = monoclinic